VASP calculation (PBE) on a geometry-optimized Sc12Al3Os structure.

a = 4.4392 Å, b = 4.4392 Å, c = 17.3228 Å
α = 90.00°, β = 90.00°, γ = 90.00°
Closest atoms and distances in Å follow each position.
Fractional positions:
Sc: 0.0000 0.0000 0.0000  8 Sc 2.93, 4 Os 3.14
Sc: 0.0000 0.0000 0.2436  4 Al 3.14, 8 Sc 3.14-3.20
Sc: 0.0000 0.0000 0.5000  8 Sc 3.14, 4 Al 3.14
Sc: 0.0000 0.0000 0.7564  4 Al 3.14, 8 Sc 3.14-3.20
Sc: 0.0000 0.5000 0.1105  2 Os 2.93, 8 Sc 2.93-3.20, 2 Al 3.24
Sc: 0.0000 0.5000 0.3722  4 Al 3.11-3.14, 8 Sc 3.14
Sc: 0.0000 0.5000 0.6278  4 Al 3.11-3.14, 8 Sc 3.14
Sc: 0.0000 0.5000 0.8895  2 Os 2.93, 8 Sc 2.93-3.20, 2 Al 3.24
Sc: 0.5000 0.0000 0.1105  2 Os 2.93, 8 Sc 2.93-3.20, 2 Al 3.24
Sc: 0.5000 0.0000 0.3722  4 Al 3.11-3.14, 8 Sc 3.14
Sc: 0.5000 0.0000 0.6278  4 Al 3.11-3.14, 8 Sc 3.14
Sc: 0.5000 0.0000 0.8895  2 Os 2.93, 8 Sc 2.93-3.20, 2 Al 3.24
Al: 0.5000 0.5000 0.2466  12 Sc 3.11-3.24
Al: 0.5000 0.5000 0.5000  12 Sc 3.14
Al: 0.5000 0.5000 0.7534  12 Sc 3.11-3.24
Os: 0.5000 0.5000 0.0000  12 Sc 2.93-3.14

Summary:
- Formation energy: -217 meV per atom
- Calculated volume: 21.336 A^3/atom